PrNd2PO8 | GGA-PBE | relaxed

Properties
Uncorrected formation energy in meV/atom: -2417
DOS(E_F) in states/eV/cell: 6.3
Magnetic moment in μB per cell: 2.02

Structure (extended XYZ):
```
12
Lattice="-4.6911 -2.2410 0.3928 4.1305 -2.8347 -1.4444 1.2089 -1.4319 6.2672" Properties=species:S:1:pos:R:3 pbc="T T T"
Pr 0.6044 -0.7159 3.1336
Nd -1.5851 -2.6349 0.6382
Nd 2.2334 -3.8727 4.5774
P 0.0000 0.0000 0.0000
O -0.0846 -5.0762 4.6301
O 0.2187 -2.3304 5.1990
O -2.3191 -3.5427 5.4115
O 0.7328 -1.4314 0.5855
O 0.4296 -4.1772 0.0166
O 2.9673 -2.9649 -0.1959
O -1.1850 -3.1088 2.7124
O 1.8333 -3.3988 2.5033
```

---

YMn2PH | GGA-PBE | relaxed

Properties
DOS(E_F) in states/eV/cell: 3.2
Total energy in eV per cell: -27.950
Magnetic moment in μB per cell: 6.96

Structure (extended XYZ):
```
5
Lattice="-1.2981 -3.4111 -3.5877 3.5377 -0.0778 -1.2060 1.0258 -3.8139 3.2550" Properties=species:S:1:pos:R:3 pbc="T T T"
Y 0.0000 0.0000 0.0000
P 1.6327 -3.6514 -0.7694
Mn 0.5129 -1.9069 1.6275
Mn -0.6491 -1.7056 -1.7939
H 1.7688 -0.0389 -0.6030
```

---

LaCoP2 | GGA-PBE | relaxed

Properties
DOS(E_F) in states/eV/cell: 4.9
E above lowest polymorph in eV/atom: 0.731
Magnetic moment in μB per cell: 1.54

Structure (extended XYZ):
```
4
Lattice="3.9759 0.0000 0.0000 0.0000 4.3180 0.0000 0.0000 0.0000 4.3180" Properties=species:S:1:pos:R:3 pbc="T T T"
Co 1.9879 2.1590 0.0000
La 1.9879 0.0000 2.1590
P 0.0000 0.0000 0.0000
P 0.0000 2.1590 2.1590
```

---

LaTb2Ho2Er | GGA-PBE | relaxed

Properties
DOS(E_F) in states/eV/cell: 18.1
Total energy in eV per cell: -53.840
Magnetic moment in μB per cell: 0.00

Structure (extended XYZ):
```
12
Lattice="3.5272 0.0000 0.0000 0.0000 16.1360 0.0000 0.0000 0.0000 6.9295" Properties=species:S:1:pos:R:3 pbc="T T T"
La 0.0000 0.0000 0.0000
La 1.7636 8.0680 3.4648
Tb 1.7636 13.5813 1.7417
Tb 1.7636 2.5547 5.1878
Tb 0.0000 10.6227 5.2065
Tb 0.0000 5.5133 1.7230
Ho 1.7636 2.5203 1.7391
Ho 0.0000 10.5883 1.7257
Ho 1.7636 13.6157 5.1905
Ho 0.0000 5.5477 5.2039
Er 1.7636 8.0680 0.0000
Er 0.0000 0.0000 3.4648
```